# 1
The following is a PBE-GGA calculation of crystalline AgWS2Cl at its relaxed geometry, from Alexandria.

The volume is 21.580 A^3/atom. The value obtained for the size of the total moment is 0.000 μB/atom. Its uncorrected energy is -5.09 eV per atom. The calculation puts the energy above the most stable polymorph in this dataset at 0.00 eV per formula unit.

Cell lengths 4.6712, 4.6712, 4.9450 Å; angles 90.00, 90.00, 90.00 degrees
With the nearest neighbours (Å) after each atom.
Fractional coordinates of all 5 atoms:
S 0.0000 0.5000 0.0000  2 W 2.34
S 0.5000 0.0000 0.0000  2 W 2.34
Ag 0.5000 0.5000 0.5000  4 Cl 3.30, 8 S 3.40
W 0.0000 0.0000 0.0000  4 S 2.34, 2 Cl 2.47
Cl 0.0000 0.0000 0.5000  2 W 2.47

# 2
The following is a PBE-GGA calculation of crystalline CsTlI2Br at its relaxed geometry, from Alexandria.

The volume is 46.355 A^3/atom. The value obtained for the size of the total moment is 0.000 μB/atom. Its uncorrected energy is -2.53 eV per atom.

Cell lengths 8.8219, 8.8219, 8.6250 Å; angles 120.76, 120.76, 90.00 degrees
With the nearest neighbours (Å) after each atom.
Fractional coordinates of all 10 atoms:
Cs 0.7505 0.2505 0.5010  8 I 4.14-4.49, 4 Br 4.41
Cs 0.2505 0.7505 0.5010  8 I 4.14-4.49, 4 Br 4.41
Tl 0.0003 0.0003 0.0006  2 Br 2.97-2.98, 4 I 3.13
Tl 0.5003 0.5003 0.0006  2 Br 2.97-2.98, 4 I 3.13
I 0.2686 0.7686 0.9994  2 Tl 3.13
I 0.7686 0.7308 0.9994  2 Tl 3.13
I 0.7308 0.2308 0.9994  2 Tl 3.13
I 0.2308 0.2686 0.9994  2 Tl 3.13
Br 0.7500 0.7500 0.5000  2 Tl 2.97-2.98
Br 0.2500 0.2500 0.5000  2 Tl 2.97-2.98

The raw formation energy results, record by record, are as follows: 89, -930 meV per atom.